Entry 1:
A relaxed ScBi2Au2 crystal. Source: Alexandria, functional PBE.

Lattice parameters (Å, degrees): 8.0708 8.0708 3.8294 90.00 90.00 90.00
Closest atoms and distances in Å follow each position.
Fractional positions:
Au 0.3646 0.1354 0.5000  6 Bi 2.96-3.11, 1 Au 3.09
Au 0.1354 0.6354 0.5000  6 Bi 2.96-3.11, 1 Au 3.09
Au 0.8646 0.3646 0.5000  6 Bi 2.96-3.11, 1 Au 3.09
Au 0.6354 0.8646 0.5000  6 Bi 2.96-3.11, 1 Au 3.09
Bi 0.8334 0.6666 0.0000  6 Au 2.96-3.11, 2 Sc 3.01
Bi 0.3334 0.8334 0.0000  6 Au 2.96-3.11, 2 Sc 3.01
Bi 0.6666 0.1666 0.0000  6 Au 2.96-3.11, 2 Sc 3.01
Bi 0.1666 0.3334 0.0000  6 Au 2.96-3.11, 2 Sc 3.01
Sc 0.0000 0.0000 0.0000  4 Bi 3.01
Sc 0.5000 0.5000 0.0000  4 Bi 3.01

Values from the calculation:
Total moment, μB/f.u.: 0.0
DFT total energy, eV/atom: -4.21
Energy of formation, eV/atom: -0.08

=====

Entry 2:
A relaxed Sc2Bi2Au crystal. Source: Alexandria, functional PBE.

Lattice parameters (Å, degrees): 7.9355 7.9355 4.0110 90.00 90.00 90.00
Closest atoms and distances in Å follow each position.
Fractional positions:
Sc 0.3491 0.1509 0.5000  6 Bi 2.95-3.16
Sc 0.1509 0.6509 0.5000  6 Bi 2.95-3.16
Sc 0.6509 0.8491 0.5000  6 Bi 2.95-3.16
Sc 0.8491 0.3491 0.5000  6 Bi 2.95-3.16
Au 0.5000 0.5000 0.0000  4 Bi 2.99
Au 0.0000 0.0000 0.0000  4 Bi 2.99
Bi 0.3434 0.8434 0.0000  6 Sc 2.95-3.16, 2 Au 2.99
Bi 0.8434 0.6566 0.0000  6 Sc 2.95-3.16, 2 Au 2.99
Bi 0.1566 0.3434 0.0000  6 Sc 2.95-3.16, 2 Au 2.99
Bi 0.6566 0.1566 0.0000  6 Sc 2.95-3.16, 2 Au 2.99

Values from the calculation:
Total moment, μB/f.u.: 0.0
DFT total energy, eV/atom: -5.07
Energy of formation, eV/atom: -0.33

=====

Entry 3:
A relaxed ScBi2Au2 crystal. Source: Alexandria, functional PBE.

Lattice parameters (Å, degrees): 7.5556 7.5556 4.2694 90.00 90.00 90.00
Closest atoms and distances in Å follow each position.
Fractional positions:
Au 0.3701 0.8701 0.0000  1 Au 2.78, 2 Bi 2.95, 2 Sc 2.96
Au 0.8701 0.6299 0.0000  1 Au 2.78, 2 Bi 2.95, 2 Sc 2.96
Au 0.6299 0.1299 0.0000  1 Au 2.78, 2 Bi 2.95, 2 Sc 2.96
Au 0.1299 0.3701 0.0000  1 Au 2.78, 2 Bi 2.95, 2 Sc 2.96
Bi 0.1797 0.6797 0.5000  6 Au 2.95-3.19
Bi 0.8203 0.3203 0.5000  6 Au 2.95-3.19
Bi 0.6797 0.8203 0.5000  6 Au 2.95-3.19
Bi 0.3203 0.1797 0.5000  6 Au 2.95-3.19
Sc 0.0000 0.0000 0.0000  4 Au 2.96
Sc 0.5000 0.5000 0.0000  4 Au 2.96

Values from the calculation:
Total moment, μB/f.u.: 0.0
DFT total energy, eV/atom: -4.40
Energy of formation, eV/atom: -0.27

=====

Entry 4:
A relaxed Sc3BiAu crystal. Source: Alexandria, functional PBE.

Lattice parameters (Å, degrees): 5.3819 5.3819 5.3819 90.00 90.00 90.00
Closest atoms and distances in Å follow each position.
Fractional positions:
Sc 0.0000 0.5000 0.0000  2 Bi 2.69
Sc 0.0000 0.0000 0.5000  2 Bi 2.69
Sc 0.5000 0.0000 0.0000  2 Bi 2.69
Bi 0.0000 0.0000 0.0000  6 Sc 2.69
Au 0.5000 0.5000 0.5000  12 Sc 3.81

Values from the calculation:
Total moment, μB/f.u.: 2.0
DFT total energy, eV/atom: -4.77
Energy of formation, eV/atom: 0.46

=====

Entry 5:
A relaxed Sc2Bi2Au crystal. Source: Alexandria, functional PBE.

Lattice parameters (Å, degrees): 7.6460 7.6460 4.2721 90.00 90.00 90.00
Closest atoms and distances in Å follow each position.
Fractional positions:
Au 0.5000 0.5000 0.0000  4 Sc 2.91
Au 0.0000 0.0000 0.0000  4 Sc 2.91
Bi 0.8396 0.3396 0.5000  6 Sc 2.95-3.20
Bi 0.1604 0.6604 0.5000  6 Sc 2.95-3.20
Bi 0.6604 0.8396 0.5000  6 Sc 2.95-3.20
Bi 0.3396 0.1604 0.5000  6 Sc 2.95-3.20
Sc 0.8487 0.6513 0.0000  2 Au 2.91, 6 Bi 2.95-3.20
Sc 0.1513 0.3487 0.0000  2 Au 2.91, 6 Bi 2.95-3.20
Sc 0.6513 0.1513 0.0000  2 Au 2.91, 6 Bi 2.95-3.20
Sc 0.3487 0.8487 0.0000  2 Au 2.91, 6 Bi 2.95-3.20

Values from the calculation:
Total moment, μB/f.u.: 0.0
DFT total energy, eV/atom: -5.18
Energy of formation, eV/atom: -0.44

=====

Entry 6:
A relaxed Sc2BiAu2 crystal. Source: Alexandria, functional PBE.

Lattice parameters (Å, degrees): 4.0698 4.0698 7.6896 74.66 74.66 90.00
Closest atoms and distances in Å follow each position.
Fractional positions:
Sc 0.3885 0.3885 0.2230  4 Au 2.84
Sc 0.6115 0.6115 0.7770  4 Au 2.84
Au 0.7500 0.2500 0.5000  4 Sc 2.84, 4 Au 2.88
Au 0.2500 0.7500 0.5000  4 Sc 2.84, 4 Au 2.88
Bi 0.0000 0.0000 0.0000  8 Sc 3.29

Values from the calculation:
Total moment, μB/f.u.: 0.6
DFT total energy, eV/atom: -5.04
Energy of formation, eV/atom: -0.42

=====

Entry 7:
A relaxed Sc2BiAu2 crystal. Source: Alexandria, functional PBE.

Lattice parameters (Å, degrees): 8.0210 8.0210 3.4797 90.00 90.00 90.00
Closest atoms and distances in Å follow each position.
Fractional positions:
Sc 0.1576 0.3424 0.0000  6 Au 2.91-2.95, 2 Bi 3.02
Sc 0.3424 0.8424 0.0000  6 Au 2.91-2.95, 2 Bi 3.02
Sc 0.8424 0.6576 0.0000  6 Au 2.91-2.95, 2 Bi 3.02
Sc 0.6576 0.1576 0.0000  6 Au 2.91-2.95, 2 Bi 3.02
Bi 0.0000 0.0000 0.0000  4 Sc 3.02
Bi 0.5000 0.5000 0.0000  4 Sc 3.02
Au 0.6323 0.8677 0.5000  6 Sc 2.91-2.95, 1 Au 3.00
Au 0.8677 0.3677 0.5000  6 Sc 2.91-2.95, 1 Au 3.00
Au 0.1323 0.6323 0.5000  6 Sc 2.91-2.95, 1 Au 3.00
Au 0.3677 0.1323 0.5000  6 Sc 2.91-2.95, 1 Au 3.00

Values from the calculation:
Total moment, μB/f.u.: 0.0
DFT total energy, eV/atom: -5.18
Energy of formation, eV/atom: -0.56

=====

Entry 8:
A relaxed Sc2BiAu2 crystal. Source: Alexandria, functional PBE.

Lattice parameters (Å, degrees): 4.6598 4.6598 6.4685 68.89 68.89 90.00
Closest atoms and distances in Å follow each position.
Fractional positions:
Au 0.3792 0.3792 0.2417  1 Au 2.69, 4 Sc 2.74
Au 0.6208 0.6208 0.7583  1 Au 2.69, 4 Sc 2.74
Sc 0.7500 0.2500 0.5000  4 Au 2.74
Sc 0.2500 0.7500 0.5000  4 Au 2.74
Bi 0.0000 0.0000 0.0000  8 Au 3.56, 8 Sc 3.63

Values from the calculation:
Total moment, μB/f.u.: 0.0
DFT total energy, eV/atom: -5.11
Energy of formation, eV/atom: -0.49

=====

Entry 9:
A relaxed ScBiAu4 crystal. Source: Alexandria, functional PBE.

Lattice parameters (Å, degrees): 4.8298 4.8298 6.1744 90.00 90.00 120.00
Closest atoms and distances in Å follow each position.
Fractional positions:
Au 0.6667 0.3333 0.7682  4 Au 2.79-2.86
Au 0.6667 0.3333 0.2318  4 Au 2.79-2.86
Au 0.3333 0.6667 0.2318  4 Au 2.79-2.86
Au 0.3333 0.6667 0.7682  4 Au 2.79-2.86
Sc 0.0000 0.0000 0.0000  2 Bi 3.09, 12 Au 3.13
Bi 0.0000 0.0000 0.5000  2 Sc 3.09, 12 Au 3.24

Values from the calculation:
Total moment, μB/f.u.: 0.0
DFT total energy, eV/atom: -4.22
Energy of formation, eV/atom: -0.33

=====

Entry 10:
A relaxed ScSiBiAu2 crystal. Source: Alexandria, functional PBE.

Lattice parameters (Å, degrees): 4.7465 5.1489 4.7465 90.00 90.00 90.00
Closest atoms and distances in Å follow each position.
Fractional positions:
Bi 0.5000 0.5000 0.5000  4 Sc 3.36, 8 Au 3.50
Sc 0.0000 0.5000 0.0000  2 Si 2.57
Au 0.0000 0.0000 0.5000  2 Si 2.37
Au 0.5000 0.0000 0.0000  2 Si 2.37
Si 0.0000 0.0000 0.0000  4 Au 2.37, 2 Sc 2.57

Values from the calculation:
Total moment, μB/f.u.: 0.0
E_form (uncorrected), eV per formula unit: -0.4
DFT total energy, eV/atom: -4.52

=====

Entry 11:
A relaxed ScSnBi2Au crystal. Source: Alexandria, functional PBE.

Lattice parameters (Å, degrees): 5.7302 5.4001 5.7302 90.00 90.00 90.00
Closest atoms and distances in Å follow each position.
Fractional positions:
Bi 0.5000 0.0000 0.0000  2 Sn 2.87
Bi 0.0000 0.0000 0.5000  2 Sn 2.87
Sn 0.0000 0.0000 0.0000  2 Sc 2.70, 4 Bi 2.87
Sc 0.0000 0.5000 0.0000  2 Sn 2.70
Au 0.5000 0.5000 0.5000  8 Bi 3.94, 4 Sc 4.05

Values from the calculation:
Total moment, μB/f.u.: 0.0
DFT total energy, eV/atom: -3.60
Energy of formation, eV/atom: 0.67

=====

Entry 12:
A relaxed Sc2TaBiAu crystal. Source: Alexandria, functional PBE.

Lattice parameters (Å, degrees): 5.1968 5.0695 5.1968 90.00 90.00 90.00
Closest atoms and distances in Å follow each position.
Fractional positions:
Au 0.0000 0.5000 0.0000  2 Ta 2.53
Sc 0.5000 0.0000 0.0000  2 Ta 2.60
Sc 0.0000 0.0000 0.5000  2 Ta 2.60
Bi 0.5000 0.5000 0.5000  8 Sc 3.63, 4 Au 3.67
Ta 0.0000 0.0000 0.0000  2 Au 2.53, 4 Sc 2.60

Values from the calculation:
Total moment, μB/f.u.: 0.0
DFT total energy, eV/atom: -5.70
Energy of formation, eV/atom: 0.63